Run one
The following is a DFT calculation (GGA+U) of VCNF2 after structural relaxation.

Unit cell a=3.879 b=3.879 c=3.917 alpha=90.00 beta=90.00 gamma=90.00
Space group P4/mmm (No. 123)
Asymmetric unit:
V1 0.000 0.000 0.000 [1 per cell]
C1 0.500 0.500 0.500 [1 per cell]
N1 0.000 0.000 0.500 [1 per cell]
F1 0.000 0.500 0.000 [2 per cell]

Output
Total magnetization, μB/atom: 0.400

=====

Run two
The following is a DFT calculation (GGA+U) of VCNF2 after structural relaxation.

Unit cell a=4.555 b=4.555 c=2.511 alpha=90.00 beta=90.00 gamma=90.00
Space group P4/mmm (No. 123)
Asymmetric unit:
V1 0.000 0.000 0.000 [1 per cell]
C1 0.500 0.500 0.500 [1 per cell]
N1 0.500 0.500 0.000 [1 per cell]
F1 0.000 0.500 0.500 [2 per cell]

Output
Total magnetization, μB/atom: 0.680

=====

Which is most stable, and by how much? run two, by 0.601 eV/atom.